DFT (PBE-GGA) results for a relaxed AcTlCo2Cl8 crystal.

Total magnetic moment: 0.500 μB/atom
Energy relative to the elements, uncorrected: -14.6 eV/f.u.
Space-group type: R-3 (148)

abc: 10.378 10.378 10.378
angles: 37.09 37.09 37.09
Atoms (fractional coordinates):
Ac  0.000  0.000  0.000
Tl  0.500  0.500  0.500
Co  0.246  0.246  0.246
Co  0.754  0.754  0.754
Cl  0.061  0.414  0.704
Cl  0.171  0.171  0.171
Cl  0.296  0.939  0.586
Cl  0.414  0.704  0.061
Cl  0.586  0.296  0.939
Cl  0.704  0.061  0.414
Cl  0.829  0.829  0.829
Cl  0.939  0.586  0.296